Entry from Alexandria: K2PdBr6 at its PBEsol-relaxed geometry (meta-GGA SCAN).

Summary:
DFT total energy   -1.436 Ry/atom

Unit cell a=10.1637 b=10.1637 c=10.1637 alpha=90.00 beta=90.00 gamma=90.00
With the nearest neighbours (Å) after each atom.
Space group Fm-3m (No. 225)
Unique sites:
1 K 0.2500 0.2500 0.2500 (multiplicity 8)  12 Br 3.59
2 Pd 0.0000 0.0000 0.0000 (multiplicity 4)  6 Br 2.46
3 Br 0.0000 0.0000 0.2424 (multiplicity 24)  1 Pd 2.46